Density functional theory data (PBE with a Hubbard U) for ErTm2MoO6 after structural relaxation.

Unit cell a=5.962 b=5.962 c=5.962 alpha=56.61 beta=56.61 gamma=56.61
Fractional coordinates of all 10 atoms:
Er 0.000 0.000 0.000
Tm 0.282 0.282 0.282
Tm 0.787 0.787 0.787
Mo 0.491 0.491 0.491
O 0.104 0.688 0.391
O 0.196 0.599 0.883
O 0.391 0.104 0.688
O 0.599 0.883 0.196
O 0.688 0.391 0.104
O 0.883 0.196 0.599

Results
Its space group is R3, No. 146. Its uncorrected energy is -8.145 eV/atom.